1.
! Rh4PbSe (PBE-GGA, relaxed); values from VASP
! symmetry	No. 216
! total DFT energy (no corrections)	-0.42049	Ry/atom
! uncorrected formation energy	379	meV/atom
! V	105.1	Å³/cell
! N(E_F)	12.12	states/eV per cell
&SYSTEM
  ibrav = 0, nat = 6, ntyp = 3
/
ATOMIC_SPECIES
Rh 102.91 Rh.upf
Pb 207.20 Pb.upf
Se 78.96 Se.upf
CELL_PARAMETERS angstrom
0.000 3.746 3.746
3.746 0.000 3.746
3.746 3.746 0.000
ATOMIC_POSITIONS crystal
Rh 0.873 0.376 0.376
Rh 0.376 0.376 0.873
Rh 0.376 0.873 0.376
Rh 0.376 0.376 0.376
Pb 0.000 0.000 0.000
Se 0.750 0.750 0.750


2.
! Rh2PbSe (PBE-GGA, relaxed); values from VASP
! symmetry	No. 47
! total DFT energy (no corrections)	-0.38522	Ry/atom
! uncorrected formation energy	233	meV/atom
! V	74.1	Å³/cell
! N(E_F)	4.45	states/eV per cell
&SYSTEM
  ibrav = 0, nat = 4, ntyp = 3
/
ATOMIC_SPECIES
Pb 207.20 Pb.upf
Rh 102.91 Rh.upf
Se 78.96 Se.upf
CELL_PARAMETERS angstrom
3.223 0.000 0.000
0.000 5.331 0.000
0.000 0.000 4.312
ATOMIC_POSITIONS crystal
Pb 0.000 0.500 0.500
Rh 0.000 0.000 0.000
Rh 0.500 0.500 0.000
Se 0.500 0.000 0.500


3.
! Rh2PbSe (PBE-GGA, relaxed); values from VASP
! symmetry	No. 12
! total DFT energy (no corrections)	-0.38490	Ry/atom
! uncorrected formation energy	237	meV/atom
! V	78.8	Å³/cell
! N(E_F)	4.38	states/eV per cell
&SYSTEM
  ibrav = 0, nat = 4, ntyp = 3
/
ATOMIC_SPECIES
Pb 207.20 Pb.upf
Rh 102.91 Rh.upf
Se 78.96 Se.upf
CELL_PARAMETERS angstrom
-2.873 4.241 -1.162
-2.645 -3.330 3.083
-1.682 1.886 3.454
ATOMIC_POSITIONS crystal
Pb 0.000 0.500 0.500
Rh 0.000 0.000 0.000
Rh 0.500 0.500 0.000
Se 0.500 0.000 0.500


Q: The lowest V belongs to which entry?
A: number 2